The following is a DFT calculation (GGA-PBEsol) of Ce2CdSe4 after structural relaxation.

```
14
Lattice="-4.2979 4.2979 4.5311 4.2979 -4.2979 4.5311 4.2979 4.2979 -4.5311" Properties=species:S:1:pos:R:3 pbc="T T T"
Ce 6.4468 1.1138 -1.1328
Ce 1.1138 2.1489 1.1328
Ce -2.1489 3.1841 3.3983
Ce 3.1841 2.1489 5.6639
Cd 4.2979 0.0000 2.2656
Cd 0.0000 0.0000 4.5311
Se 1.6196 -0.6265 1.7539
Se 3.6714 1.6196 -0.5117
Se 2.6783 4.9244 -2.7772
Se 2.6783 -0.6265 5.0428
Se 3.6714 2.6783 2.7772
Se 1.6196 4.9244 0.5117
Se 0.6265 2.6783 4.0194
Se 0.6265 1.6196 7.3084
```

Output
- Total moment: 2.0 μB per formula unit
- Formation energy from raw total energies: -1.342 eV per atom